# Cs2WI6Cl

Cs2WI6Cl after structural relaxation (PBE, Alexandria via LeMat-Bulk).

extended XYZ file:
```
10
Lattice="-4.3236 4.3236 6.1845 4.3236 -4.3236 6.1845 4.3236 4.3236 -6.1845" Properties=species:S:1:pos:R:3 pbc="T T T"
Cs 4.3236 0.0000 3.0923
Cs 0.0000 4.3236 3.0923
W 0.0000 0.0000 0.0000
I 0.0000 0.0000 2.7589
I 1.9490 1.9490 0.0000
I 2.3746 -2.3746 6.1845
I -2.3746 2.3746 6.1845
I 2.3746 2.3746 6.1845
I 0.0000 0.0000 9.6102
Cl 0.0000 0.0000 6.1845
```

Results
**Formation energy without anion corrections**: -0.61 eV per atom
**DOS(E_F)**: 8.43 states/eV/f.u.
**SG**: No. 139


# Sr2Nb2In

Sr2Nb2In after structural relaxation (PBE, Alexandria via LeMat-Bulk).

extended XYZ file:
```
5
Lattice="-2.2793 2.2793 7.3354 2.2793 -2.2793 7.3354 2.2793 2.2793 -7.3354" Properties=species:S:1:pos:R:3 pbc="T T T"
Sr 2.2793 0.0000 3.6677
Sr 0.0000 2.2793 3.6677
Nb 0.0000 0.0000 1.0808
Nb 0.0000 0.0000 13.5900
In 0.0000 0.0000 7.3354
```

Results
**DOS(E_F)**: 4.69 states/eV/f.u.
**DFT formation energy**: 0.967 eV per atom
**SG**: No. 139